Material: Sr2MgIr2
Method: DFT, PBE-GGA
State: optimized geometry

V	245.5	Å³/cell
total magnetic moment	0.0	μB per cell
formation energy from the elements	-0.145	eV per atom

a b c (Å): 7.202 7.202 4.733
angles (deg): 90.00 90.00 90.00
Sites, in units of the cell vectors:
Sr: 0.174 0.326 0.000
Sr: 0.326 0.826 0.000
Sr: 0.674 0.174 0.000
Sr: 0.826 0.674 0.000
Mg: 0.000 0.000 0.500
Mg: 0.500 0.500 0.500
Ir: 0.124 0.624 0.500
Ir: 0.376 0.124 0.500
Ir: 0.624 0.876 0.500
Ir: 0.876 0.376 0.500